[1]
Entry from Alexandria: a relaxed structure of Dy3InHg12 (GGA-PBE).

```
Dy3InHg12
1.0
4.6175 0.0000 0.0000
0.0000 4.6175 0.0000
0.0000 0.0000 18.4581
Dy In Hg
3 1 12
Direct
0.0000 0.0000 0.0000
0.0000 0.0000 0.2565
0.0000 0.0000 0.7435
0.0000 0.0000 0.5000
0.0000 0.5000 0.1245
0.0000 0.5000 0.3744
0.0000 0.5000 0.6256
0.0000 0.5000 0.8755
0.5000 0.0000 0.1245
0.5000 0.0000 0.3744
0.5000 0.0000 0.6256
0.5000 0.0000 0.8755
0.5000 0.5000 0.0000
0.5000 0.5000 0.2452
0.5000 0.5000 0.5000
0.5000 0.5000 0.7548
```

Results
The formation enthalpy at 0 K is -0.24 eV/atom. Its density is 12.70 Mg/m³. The value obtained for the density of states at the Fermi level is 8.96 states/eV per cell.

[2]
Entry from Alexandria: a relaxed structure of Dy3In2Hg7 (GGA-PBE).

```
Dy3In2Hg7
1.0
5.0335 0.0000 0.0000
0.0000 3.5584 0.0000
-2.4380 0.0000 17.2257
Dy In Hg
3 2 7
Direct
0.0000 0.0000 0.0000
0.3103 0.5000 0.6214
0.6897 0.5000 0.3786
0.1469 0.0000 0.2948
0.8531 0.0000 0.7052
0.0706 0.5000 0.1451
0.2305 0.0000 0.4602
0.3975 0.0000 0.7948
0.5000 0.5000 0.0000
0.6025 0.0000 0.2052
0.7695 0.0000 0.5398
0.9294 0.5000 0.8549
```

Results
The formation enthalpy at 0 K is -0.23 eV/atom. Its density is 11.42 Mg/m³. The value obtained for the density of states at the Fermi level is 6.12 states/eV per cell.

[3]
Entry from Alexandria: a relaxed structure of DyIn3Hg12 (GGA-PBE).

```
DyIn3Hg12
1.0
4.2157 0.0000 0.0000
0.0000 4.8037 0.0000
0.0000 0.0000 20.5149
Dy In Hg
1 3 12
Direct
0.0000 0.0000 0.0000
0.0000 0.0000 0.2430
0.0000 0.0000 0.5000
0.0000 0.0000 0.7570
0.0000 0.5000 0.1181
0.0000 0.5000 0.3716
0.0000 0.5000 0.6284
0.0000 0.5000 0.8819
0.5000 0.0000 0.1194
0.5000 0.0000 0.3701
0.5000 0.0000 0.6299
0.5000 0.0000 0.8806
0.5000 0.5000 0.0000
0.5000 0.5000 0.2445
0.5000 0.5000 0.5000
0.5000 0.5000 0.7555
```

Results
The formation enthalpy at 0 K is -0.08 eV/atom. Its density is 11.65 Mg/m³. The value obtained for the density of states at the Fermi level is 6.92 states/eV per cell.

[4]
Entry from Alexandria: a relaxed structure of Dy5In4Hg (GGA-PBE).

```
Dy5In4Hg
1.0
3.7382 0.0000 0.0000
0.0000 3.7382 0.0000
0.0000 0.0000 18.9101
Dy In Hg
5 4 1
Direct
0.0000 0.0000 0.0000
0.0000 0.0000 0.2011
0.0000 0.0000 0.4032
0.0000 0.0000 0.5968
0.0000 0.0000 0.7989
0.5000 0.5000 0.1003
0.5000 0.5000 0.3025
0.5000 0.5000 0.6975
0.5000 0.5000 0.8997
0.5000 0.5000 0.5000
```

Results
The formation enthalpy at 0 K is -0.47 eV/atom. Its density is 9.25 Mg/m³. The value obtained for the density of states at the Fermi level is 8.34 states/eV per cell.

[5]
Entry from Alexandria: a relaxed structure of Dy3In4Hg2 (GGA-PBE).

```
Dy3In4Hg2
1.0
7.7442 0.0000 0.0000
-3.8721 6.7067 0.0000
0.0000 0.0000 4.4369
Dy In Hg
3 4 2
Direct
0.0000 0.5925 0.0000
0.4075 0.4075 0.0000
0.5925 0.0000 0.0000
0.0000 0.0000 0.0000
0.0000 0.2601 0.5000
0.2601 0.0000 0.5000
0.7399 0.7399 0.5000
0.3333 0.6667 0.5000
0.6667 0.3333 0.5000
```

Results
The formation enthalpy at 0 K is -0.37 eV/atom. Its density is 9.71 Mg/m³. The value obtained for the density of states at the Fermi level is 3.82 states/eV per cell. The offset from the most stable computed form is 0.034 eV per atom.

[6]
Entry from Alexandria: a relaxed structure of DyIn6Hg12 (GGA-PBE).

```
DyIn6Hg12
1.0
5.7576 3.3242 4.4227
-5.7576 3.3242 4.4227
0.0000 -6.6483 4.4227
Dy In Hg
1 6 12
Direct
0.0000 0.0000 0.0000
0.1429 0.7166 0.2575
0.2575 0.1429 0.7166
0.2834 0.7425 0.8571
0.7166 0.2575 0.1429
0.7425 0.8571 0.2834
0.8571 0.2834 0.7425
0.0483 0.1519 0.3735
0.1519 0.3735 0.0483
0.1911 0.4841 0.5535
0.3735 0.0483 0.1519
0.4465 0.8089 0.5159
0.4841 0.5535 0.1911
0.5159 0.4465 0.8089
0.5535 0.1911 0.4841
0.6265 0.9517 0.8481
0.8089 0.5159 0.4465
0.8481 0.6265 0.9517
0.9517 0.8481 0.6265
```

Results
The formation enthalpy at 0 K is -0.04 eV/atom. Its density is 10.65 Mg/m³. The value obtained for the density of states at the Fermi level is 8.41 states/eV per cell. The offset from the most stable computed form is 0.020 eV per atom.